! PBE NiRhW2, relaxed; values from VASP
! Formation enthalpy at 0 K: 158 meV per atom
! N(E_F): 5.415 states/eV per cell
&SYSTEM
  ibrav = 0, nat = 4, ntyp = 3
/
ATOMIC_SPECIES
Ni 58.69 Ni.upf
W 183.84 W.upf
Rh 102.91 Rh.upf
CELL_PARAMETERS angstrom
4.354 0.000 0.000
2.177 3.771 0.000
2.177 1.257 3.555
ATOMIC_POSITIONS angstrom
Ni 4.354 2.514 1.777
W 2.177 1.257 0.889
W 0.000 0.000 0.000
Rh 6.531 3.771 2.666


! PBE NiRh3W, relaxed; values from VASP
! Formation enthalpy at 0 K: 1352 meV per atom
! N(E_F): 6.050 states/eV per cell
&SYSTEM
  ibrav = 0, nat = 5, ntyp = 3
/
ATOMIC_SPECIES
Rh 102.91 Rh.upf
W 183.84 W.upf
Ni 58.69 Ni.upf
CELL_PARAMETERS angstrom
4.370 0.000 0.000
0.000 4.370 0.000
0.000 0.000 4.370
ATOMIC_POSITIONS angstrom
Rh 2.185 0.000 0.000
W 2.185 2.185 2.185
Rh 0.000 0.000 2.185
Ni 0.000 0.000 0.000
Rh 0.000 2.185 0.000


! PBE NiRhW2, relaxed; values from VASP
! Formation enthalpy at 0 K: 7 meV per atom
! N(E_F): 3.239 states/eV per cell
&SYSTEM
  ibrav = 0, nat = 4, ntyp = 3
/
ATOMIC_SPECIES
W 183.84 W.upf
Rh 102.91 Rh.upf
Ni 58.69 Ni.upf
CELL_PARAMETERS angstrom
2.735 0.066 0.000
-0.059 2.735 0.000
0.000 0.000 7.730
ATOMIC_POSITIONS angstrom
W 1.338 1.400 2.109
W 0.000 0.000 7.616
Rh 1.338 1.400 5.732
Ni 0.000 0.000 3.868


! PBE NiRh4W2, relaxed; values from VASP
! Formation enthalpy at 0 K: -185 meV per atom
! N(E_F): 6.414 states/eV per cell
&SYSTEM
  ibrav = 0, nat = 7, ntyp = 3
/
ATOMIC_SPECIES
W 183.84 W.upf
Rh 102.91 Rh.upf
Ni 58.69 Ni.upf
CELL_PARAMETERS angstrom
4.648 0.524 0.387
2.686 3.829 0.387
0.380 0.226 6.122
ATOMIC_POSITIONS angstrom
W 4.300 2.552 2.139
Rh 1.221 0.725 3.662
W 3.415 2.027 4.757
Rh 2.156 1.280 1.059
Rh 6.494 3.855 3.234
Ni 0.000 0.000 0.000
Rh 5.558 3.299 5.837


! PBE NiRh2W2, relaxed; values from VASP
! Formation enthalpy at 0 K: 220 meV per atom
! N(E_F): 9.370 states/eV per cell
&SYSTEM
  ibrav = 0, nat = 10, ntyp = 3
/
ATOMIC_SPECIES
Rh 102.91 Rh.upf
Ni 58.69 Ni.upf
W 183.84 W.upf
CELL_PARAMETERS angstrom
7.489 0.000 0.000
0.000 7.489 0.000
0.000 0.000 2.771
ATOMIC_POSITIONS angstrom
Rh 4.706 0.962 0.000
Rh 0.962 2.783 0.000
Rh 6.527 4.706 0.000
Ni 3.745 3.745 0.000
W 1.263 5.007 1.385
W 6.226 2.482 1.385
Ni 0.000 0.000 0.000
W 5.007 6.226 1.385
Rh 2.783 6.527 0.000
W 2.482 1.263 1.385


! PBE NiRhW, relaxed; values from VASP
! Formation enthalpy at 0 K: -7 meV per atom
! N(E_F): 2.414 states/eV per cell
&SYSTEM
  ibrav = 0, nat = 3, ntyp = 3
/
ATOMIC_SPECIES
Rh 102.91 Rh.upf
Ni 58.69 Ni.upf
W 183.84 W.upf
CELL_PARAMETERS angstrom
4.240 0.000 0.000
-2.120 3.672 0.000
0.000 0.000 2.683
ATOMIC_POSITIONS angstrom
Rh 2.120 1.224 0.892
Ni 0.000 0.000 2.269
W 0.000 2.448 2.204